(1)
Below is YHo3ErTh after structural relaxation, with properties calculated at the PBE-GGA level.

Results
- DOS(E_F) (states/eV/atom) = 1.504
- energy of formation (eV/atom) = 0.027
- space-group type = No. 11

```
YHo3ErTh
1.0
7.9044 0.0000 0.0000
0.0000 5.0257 0.0000
-3.1879 0.0000 9.5103
Y Ho Er Th
2 6 2 2
Cartesian
0.3916 1.2564 2.7764
4.3249 3.7693 6.7339
-0.3987 3.7693 5.1623
-1.1495 1.2564 7.5338
1.2374 3.7693 0.4136
3.4791 1.2564 9.0968
5.8660 3.7693 1.9765
5.1152 1.2564 4.3480
1.9492 1.2564 5.9688
2.7673 3.7693 3.5416
1.1453 3.7693 8.3450
3.5712 1.2564 1.1653
```

---

(2)
Below is Y3HoErTh after structural relaxation, with properties calculated at the PBE-GGA level.

Results
- DOS(E_F) (states/eV/atom) = 1.522
- energy of formation (eV/atom) = 0.025
- space-group type = No. 11

```
Y3HoErTh
1.0
10.6513 0.0000 0.0000
0.0000 3.5679 0.0000
-3.5246 0.0000 10.0583
Y Ho Er Th
6 2 2 2
Cartesian
-0.8583 0.8920 3.7306
0.9055 2.6760 6.2827
4.4204 2.6760 1.2687
2.7064 0.8920 8.7896
6.2213 0.8920 3.7756
7.9851 2.6760 6.3277
-0.9006 0.8920 8.8400
8.0274 2.6760 1.2183
2.6727 0.8920 3.7610
4.4541 2.6760 6.2973
0.8830 2.6760 1.2491
6.2438 0.8920 8.8093
```

---

(3)
Below is Y6Ho2ErTh3 after structural relaxation, with properties calculated at the PBE-GGA level.

Results
- DOS(E_F) (states/eV/atom) = 1.582
- energy of formation (eV/atom) = 0.028
- space-group type = No. 12

```
Y6Ho2ErTh3
1.0
3.0939 -5.3555 0.0000
3.0939 5.3555 0.0000
-2.0668 0.0000 11.5636
Y Ho Er Th
6 2 1 3
Cartesian
-0.0048 1.7846 8.7055
1.0312 0.0000 2.8561
-0.0048 -1.7846 8.7055
4.1257 1.7846 2.8582
3.0897 0.0000 8.7075
4.1257 -1.7846 2.8582
2.0605 1.7840 5.7818
2.0605 -1.7840 5.7818
-1.0334 0.0000 5.7818
3.0939 3.5690 0.0000
3.0939 0.0000 0.0000
3.0939 -3.5690 0.0000
```

---

(4)
Below is YHo2Er5Th after structural relaxation, with properties calculated at the PBE-GGA level.

Results
- DOS(E_F) (states/eV/atom) = 1.304
- energy of formation (eV/atom) = 0.326
- space-group type = No. 140

```
YHo2Er5Th
1.0
-4.3869 4.3869 7.3764
4.3869 -4.3869 7.3764
4.3869 4.3869 -7.3764
Y Ho Er Th
2 4 10 2
Cartesian
4.3869 0.0000 3.6882
0.0000 4.3869 3.6882
5.3803 0.9934 0.0000
0.9934 3.3936 0.0000
3.3936 0.9934 7.3764
-0.9934 3.3936 7.3764
0.0000 0.0000 0.0000
2.5540 1.8330 -1.9951
2.5540 -1.8330 5.3813
2.5540 1.8330 1.9951
2.5540 -1.8330 9.3715
0.0000 0.0000 7.3764
1.8330 6.2199 -1.9951
1.8330 2.5540 5.3813
1.8330 6.2199 1.9951
1.8330 2.5540 9.3715
0.0000 0.0000 3.6882
0.0000 0.0000 11.0646
```

---

(5)
Below is YHo2ErTh after structural relaxation, with properties calculated at the PBE-GGA level.

Results
- DOS(E_F) (states/eV/atom) = 1.208
- energy of formation (eV/atom) = 0.410
- space-group type = No. 63

```
YHo2ErTh
1.0
3.1913 -8.2936 0.0000
3.1913 8.2936 0.0000
0.0000 0.0000 6.3490
Y Ho Er Th
2 4 2 2
Cartesian
3.1913 5.6953 4.7618
3.1913 -5.6953 1.5873
1.6100 0.0000 0.0000
1.6100 0.0000 3.1745
4.7727 0.0000 0.0000
4.7727 0.0000 3.1745
3.1913 3.9498 1.5873
3.1913 -3.9498 4.7618
3.1913 2.5930 4.7618
3.1913 -2.5930 1.5873
```

---

(6)
Below is Y6HoEr2Th3 after structural relaxation, with properties calculated at the PBE-GGA level.

Results
- DOS(E_F) (states/eV/atom) = 1.597
- energy of formation (eV/atom) = 0.029
- space-group type = No. 12

```
Y6HoEr2Th3
1.0
3.0933 -5.3546 0.0000
3.0933 5.3546 0.0000
-2.0650 0.0000 11.5626
Y Ho Er Th
6 1 2 3
Cartesian
-0.0024 1.7850 8.7042
1.0314 0.0000 2.8568
-0.0024 -1.7850 8.7042
4.1240 1.7850 2.8584
3.0903 0.0000 8.7058
4.1240 -1.7850 2.8584
-1.0325 0.0000 5.7813
2.0608 1.7847 5.7813
2.0608 -1.7847 5.7813
3.0933 3.5696 0.0000
3.0933 0.0000 0.0000
3.0933 -3.5696 0.0000
```

---

(7)
Below is Y2HoEr5Th after structural relaxation, with properties calculated at the PBE-GGA level.

Results
- DOS(E_F) (states/eV/atom) = 1.469
- energy of formation (eV/atom) = 0.166
- space-group type = No. 36

```
Y2HoEr5Th
1.0
2.8306 -10.6544 0.0000
2.8306 10.6544 0.0000
0.0000 0.0000 9.6877
Y Ho Er Th
4 2 10 2
Cartesian
2.8306 8.2140 4.8438
2.8306 7.8990 1.1230
2.8306 -7.8990 5.9668
2.8306 -8.2140 0.0000
2.8306 6.5699 7.8474
2.8306 -6.5699 3.0036
2.8306 10.3323 7.8386
2.8306 4.8852 4.8534
2.8306 4.1596 1.0713
2.8306 2.1681 7.6303
2.8306 0.6436 0.8363
2.8306 -0.6436 5.6801
2.8306 -2.1681 2.7864
2.8306 -4.1596 5.9151
2.8306 -4.8852 0.0096
2.8306 -10.3323 2.9947
2.8306 2.0198 3.9058
2.8306 -2.0198 8.7496
```

---

(8)
Below is YHoEr2Th after structural relaxation, with properties calculated at the PBE-GGA level.

Results
- DOS(E_F) (states/eV/atom) = 1.279
- energy of formation (eV/atom) = 0.328
- space-group type = No. 13

```
YHoEr2Th
1.0
8.3838 0.0000 0.0000
0.0000 6.3680 0.0000
-0.7174 0.0000 6.2407
Y Ho Er Th
2 2 4 2
Cartesian
-0.1794 1.1762 1.5602
-0.5381 5.1917 4.6805
4.1919 0.0000 0.0000
3.8332 0.0000 3.1203
1.0230 1.9114 4.8935
1.3817 4.4566 1.7732
6.2847 1.9114 4.4675
6.6434 4.4566 1.3472
4.0125 2.8236 1.5602
3.6538 3.5444 4.6805
```

---

(9)
Below is Y2HoErTh after structural relaxation, with properties calculated at the PBE-GGA level.

Results
- DOS(E_F) (states/eV/atom) = 1.286
- energy of formation (eV/atom) = 0.339
- space-group type = No. 13

```
Y2HoErTh
1.0
8.5161 0.0000 0.0000
0.0000 6.3314 0.0000
-0.6166 0.0000 6.2498
Y Ho Er Th
4 2 2 2
Cartesian
1.4325 1.2754 1.7471
1.1242 5.0560 4.8720
6.7753 1.2754 1.3778
6.4670 5.0560 4.5027
4.2581 3.1657 0.0000
3.9497 3.1657 3.1249
-0.4625 2.0029 4.6874
-0.1542 4.3286 1.5625
3.7956 0.3430 4.6874
4.1039 5.9884 1.5625
```

---

(10)
Below is Y4Ho2Er2Th after structural relaxation, with properties calculated at the PBE-GGA level.

Results
- DOS(E_F) (states/eV/atom) = 1.449
- energy of formation (eV/atom) = 0.003
- space-group type = No. 12

```
Y4Ho2Er2Th
1.0
9.2872 -1.7927 0.0000
9.2872 1.7927 0.0000
-4.1152 0.0000 8.5721
Y Ho Er Th
4 2 2 1
Cartesian
-1.0190 0.0000 2.8324
3.1020 0.0000 5.7211
11.3571 0.0000 2.8511
15.4781 0.0000 5.7397
5.1644 0.0000 2.8516
9.2947 0.0000 5.7205
3.0673 0.0000 0.0124
11.3918 0.0000 8.5598
9.2872 0.0000 0.0000
```

---

(11)
Below is HoErTi4 after structural relaxation, with properties calculated at the PBE-GGA level.

Results
- DOS(E_F) (states/eV/atom) = 1.219
- energy of formation (eV/atom) = 0.232
- space-group type = No. 216

```
HoErTi4
1.0
0.0000 4.0894 4.0894
4.0894 0.0000 4.0894
4.0894 4.0894 0.0000
Ho Er Ti
1 1 4
Cartesian
0.0000 0.0000 0.0000
6.1340 6.1340 6.1340
3.0681 3.0681 3.0681
5.1106 5.1106 3.0681
5.1106 3.0681 5.1106
3.0681 5.1106 5.1106
```

---

(12)
Below is Ho8Er3Tl4 after structural relaxation, with properties calculated at the PBE-GGA level.

Results
- DOS(E_F) (states/eV/atom) = 1.370
- energy of formation (eV/atom) = 0.126
- space-group type = No. 12

```
Ho8Er3Tl4
1.0
6.4376 -6.3627 0.0000
6.4376 6.3627 0.0000
-3.2860 0.0000 5.6788
Ho Er Tl
8 3 4
Cartesian
6.4376 4.5624 0.0000
-0.2747 0.0000 5.5649
4.7946 3.3338 2.8394
1.4616 0.0000 2.7906
8.1275 0.0000 2.8882
4.7946 -3.3338 2.8394
9.8638 0.0000 0.1139
6.4376 -4.5624 0.0000
3.2188 3.1813 0.0000
3.2188 -3.1813 0.0000
4.7946 0.0000 2.8394
-1.6430 0.0000 2.8394
1.5758 3.1813 2.8394
1.5758 -3.1813 2.8394
6.4376 0.0000 0.0000
```